The following is a PBE-GGA calculation of UNi15Sb4 after structural relaxation, from Alexandria via LeMat-Bulk.

Lattice parameters (Å, degrees): 3.7715 3.7715 18.5975 90.00 90.00 90.00
Last column: nearest neighbours and their distance in Å.
Element x y z (fractional)
U: 0.0000 0.0000 0.0000  12 Ni 2.64-2.67
Ni: 0.0000 0.5000 0.0994  8 Ni 2.64-2.67, 2 U 2.64, 2 Sb 2.71
Ni: 0.0000 0.5000 0.3015  4 Sb 2.62-2.64, 8 Ni 2.64-2.67
Ni: 0.0000 0.5000 0.5000  4 Sb 2.64, 8 Ni 2.64-2.67
Ni: 0.0000 0.5000 0.6985  4 Sb 2.62-2.64, 8 Ni 2.64-2.67
Ni: 0.0000 0.5000 0.9006  8 Ni 2.64-2.67, 2 U 2.64, 2 Sb 2.71
Ni: 0.5000 0.0000 0.0994  8 Ni 2.64-2.67, 2 U 2.64, 2 Sb 2.71
Ni: 0.5000 0.0000 0.3015  4 Sb 2.62-2.64, 8 Ni 2.64-2.67
Ni: 0.5000 0.0000 0.5000  4 Sb 2.64, 8 Ni 2.64-2.67
Ni: 0.5000 0.0000 0.6985  4 Sb 2.62-2.64, 8 Ni 2.64-2.67
Ni: 0.5000 0.0000 0.9006  8 Ni 2.64-2.67, 2 U 2.64, 2 Sb 2.71
Ni: 0.5000 0.5000 0.0000  8 Ni 2.64, 4 U 2.67
Ni: 0.5000 0.5000 0.2010  8 Ni 2.66-2.67, 4 Sb 2.67
Ni: 0.5000 0.5000 0.4006  8 Ni 2.64, 4 Sb 2.67
Ni: 0.5000 0.5000 0.5994  8 Ni 2.64, 4 Sb 2.67
Ni: 0.5000 0.5000 0.7990  8 Ni 2.66-2.67, 4 Sb 2.67
Sb: 0.0000 0.0000 0.2037  12 Ni 2.62-2.71
Sb: 0.0000 0.0000 0.4007  12 Ni 2.64-2.67
Sb: 0.0000 0.0000 0.5993  12 Ni 2.64-2.67
Sb: 0.0000 0.0000 0.7963  12 Ni 2.62-2.71

## Properties
The space-group type is P4/mmm (123). The raw formation energy is -2.899 eV/f.u.